Record 1
# ZnHgIr2, relaxed, DFT PBE
# - Crystal system: orthorhombic
# - Uncorrected energy: -4.488 eV/atom
data_ZnHgIr2
_chemical_formula_sum 'Zn2 Hg2 Ir4'
_cell_length_a 2.844
_cell_length_b 4.709
_cell_length_c 9.934
_cell_angle_alpha 90.00
_cell_angle_beta 90.00
_cell_angle_gamma 90.00
_space_group_name_H-M_alt 'I m m 2'
_space_group_IT_number 44
loop_
_space_group_symop_operation_xyz
'x,y,z'
'-x,-y,z'
'-x,y,z'
'x,-y,z'
'x+1/2,y+1/2,z+1/2'
'-x+1/2,-y+1/2,z+1/2'
'-x+1/2,y+1/2,z+1/2'
'x+1/2,-y+1/2,z+1/2'
loop_
_atom_site_label
_atom_site_type_symbol
_atom_site_fract_x
_atom_site_fract_y
_atom_site_fract_z
Zn1 Zn 0.000 0.000 0.000
Hg1 Hg 0.000 0.500 0.781
Ir1 Ir 0.000 0.000 0.545
Ir2 Ir 0.000 0.500 0.266

***

Record 2
# Yb4Br6O, relaxed, DFT PBE
# - Crystal system: hexagonal
# - Uncorrected energy: -4.005 eV/atom
data_Yb4Br6O
_chemical_formula_sum 'Yb8 Br12 O2'
_cell_length_a 9.6177
_cell_length_b 9.6177
_cell_length_c 7.2776
_cell_angle_alpha 90.00
_cell_angle_beta 90.00
_cell_angle_gamma 120.00
_space_group_name_H-M_alt 'P 63 m c'
_space_group_IT_number 186
_space_group_name_Hall 'P 6c -2c'
loop_
_atom_site_label
_atom_site_type_symbol
_atom_site_fract_x
_atom_site_fract_y
_atom_site_fract_z
Yb1 Yb 0.2028 0.4057 0.0000
Yb2 Yb 0.3333 0.6667 0.4136
Br1 Br 0.0739 0.5369 0.7039
Br2 Br 0.1376 0.2751 0.3784
O1 O 0.3333 0.6667 0.1016

***

Record 3
# Ce5Ge2Pt, relaxed, DFT PBE
# - Crystal system: monoclinic
# - Uncorrected energy: -6.178 eV/atom
data_Ce5Ge2Pt
_chemical_formula_sum 'Ce10 Ge4 Pt2'
_cell_length_a 6.816
_cell_length_b 10.170
_cell_length_c 6.308
_cell_angle_alpha 90.00
_cell_angle_beta 119.38
_cell_angle_gamma 90.00
_space_group_name_H-M_alt 'C 1 m 1'
_space_group_IT_number 8
loop_
_space_group_symop_operation_xyz
'x,y,z'
'x,-y,z'
'x+1/2,y+1/2,z'
'x+1/2,-y+1/2,z'
loop_
_atom_site_label
_atom_site_type_symbol
_atom_site_fract_x
_atom_site_fract_y
_atom_site_fract_z
Ce1 Ce 0.000 0.000 0.000
Ce2 Ce 0.054 0.500 0.019
Ce3 Ce 0.164 0.000 0.580
Ce4 Ce 0.279 0.238 0.450
Ge1 Ge 0.250 0.236 0.932
Pt1 Pt 0.129 0.500 0.517

***

Record 4
# LaPt2Br, relaxed, DFT PBE
# - Crystal system: orthorhombic
# - Uncorrected energy: -5.331 eV/atom
data_LaPt2Br
_chemical_formula_sum 'La2 Pt4 Br2'
_cell_length_a 4.681
_cell_length_b 5.510
_cell_length_c 7.449
_cell_angle_alpha 90.00
_cell_angle_beta 90.00
_cell_angle_gamma 90.00
_space_group_name_H-M_alt 'I m m 2'
_space_group_IT_number 44
loop_
_space_group_symop_operation_xyz
'x,y,z'
'-x,-y,z'
'-x,y,z'
'x,-y,z'
'x+1/2,y+1/2,z+1/2'
'-x+1/2,-y+1/2,z+1/2'
'-x+1/2,y+1/2,z+1/2'
'x+1/2,-y+1/2,z+1/2'
loop_
_atom_site_label
_atom_site_type_symbol
_atom_site_fract_x
_atom_site_fract_y
_atom_site_fract_z
La1 La 0.000 0.000 0.000
Pt1 Pt 0.000 0.000 0.575
Pt2 Pt 0.000 0.500 0.208
Br1 Br 0.000 0.500 0.796